First-principles (GGA-PBE) data for a geometry-optimized Sn4Sb3As structure, as listed in Alexandria via LeMat-Bulk.

Unit cell a=12.7176 b=12.7176 c=12.7176 alpha=22.63 beta=22.63 gamma=22.63
Positions (direct):
Sn 0.0000 0.0000 0.0000
Sn 0.2296 0.2296 0.2296
Sn 0.4983 0.4983 0.4983
Sn 0.7296 0.7296 0.7296
Sb 0.4188 0.4188 0.4188
Sb 0.6509 0.6509 0.6509
Sb 0.9195 0.9195 0.9195
As 0.1577 0.1577 0.1577

Results
ΔE_f (raw)	0.09	eV/atom
DFT total energy	-4.039	eV/atom